DFT (PBE-GGA) results for AcSi2Au after structural relaxation.

```
AcSi2Au
1.0
2.7066 1.5627 3.7182
-2.7066 1.5627 3.7182
0.0000 -3.1254 3.7182
Ac Si Au
1 2 1
Direct
0.0000 0.0000 0.0000
0.2791 0.2791 0.2791
0.7209 0.7209 0.7209
0.5000 0.5000 0.5000
```

Properties
The energy relative to the lowest polymorph listed for this composition comes out at 276 meV per atom. The space group is R-3m. Its density of states at the Fermi level is 0.505 states/eV/atom. The total energy comes out at -4.66 eV/atom. Its uncorrected formation energy is -0.4 eV per formula unit.